No. 1
BeSi2Br after structural relaxation. Source: the Alexandria database, functional GGA-PBE.

## Properties
Density of states at the Fermi level, states/eV/f.u.: 2.1
E_form (uncorrected), eV/atom: 0.930
Final energy, eV/atom: -3.131
Total magnetization, μB/f.u.: 0.0
Distance to the lowest polymorph of the same formula, kJ/mol of formula units: 341

Lattice parameters (Å, degrees): 6.4164 6.4164 6.4164 90.00 90.00 90.00
Space group F-43m (No. 216)
One atom of each set of equivalent atoms:
1 Be 0.0000 0.0000 0.0000 (multiplicity 4)
2 Si 0.0000 0.0000 0.5000 (multiplicity 4)
3 Si 0.2500 0.2500 0.7500 (multiplicity 4)
4 Br 0.2500 0.2500 0.2500 (multiplicity 4)

=====

No. 2
Tm8AlTl2 after structural relaxation. Source: the Alexandria database, functional GGA-PBE.

## Properties
Density of states at the Fermi level, states/eV/f.u.: 12.1
DFT formation energy, eV per atom: -0.052
Final energy, eV/atom: -4.074
Total magnetization, μB/f.u.: 0.0

Lattice parameters (Å, degrees): 8.6661 14.6960 5.4312 90.00 114.30 90.00
Space group C2/m (No. 12)
One atom of each set of equivalent atoms:
1 Tm 0.0000 0.2099 0.0000 (multiplicity 4)
2 Tm 0.1106 0.5000 0.8040 (multiplicity 4)
3 Tm 0.2127 0.1131 0.6147 (multiplicity 8)
4 Al 0.0000 0.0000 0.0000 (multiplicity 2)
5 Tl 0.0000 0.3035 0.5000 (multiplicity 4)

=====

No. 3
NdDy4Tm10 after structural relaxation. Source: the Alexandria database, functional GGA-PBE.

## Properties
Density of states at the Fermi level, states/eV/f.u.: 28.4
DFT formation energy, eV per atom: 0.487
Final energy, eV/atom: -4.039
Total magnetization, μB/f.u.: 0.0

Lattice parameters (Å, degrees): 9.7094 9.7094 10.6955 90.00 90.00 90.00
Space group I4/m (No. 87)
One atom of each set of equivalent atoms:
1 Nd 0.0000 0.0000 0.0000 (multiplicity 2)
2 Dy 0.0550 0.2919 0.5000 (multiplicity 8)
3 Tm 0.0000 0.5000 0.2500 (multiplicity 4)
4 Tm 0.1218 0.2195 0.1688 (multiplicity 16)

=====

No. 4
BaGeOs3 after structural relaxation. Source: the Alexandria database, functional GGA-PBE.

## Properties
Density of states at the Fermi level, states/eV/f.u.: 7.5
DFT formation energy, eV per atom: 3.691
Final energy, eV/atom: -4.355
Total magnetization, μB/f.u.: 3.9
Distance to the lowest polymorph of the same formula, kJ/mol of formula units: 1129

Lattice parameters (Å, degrees): 5.0953 5.0953 5.0953 90.00 90.00 90.00
Space group Pm-3m (No. 221)
One atom of each set of equivalent atoms:
1 Ba 0.0000 0.0000 0.0000 (multiplicity 1)
2 Ge 0.5000 0.5000 0.5000 (multiplicity 1)
3 Os 0.0000 0.0000 0.5000 (multiplicity 3)